Entry 1:
Below is a geometry-optimized Ho6ThMg structure, with properties calculated at the PBE level.

abc: 4.994 4.994 9.765
angles: 90.00 90.00 90.00
Fractional positions:
Ho (0.500, 0.500, 0.000)
Ho (0.500, 0.500, 0.500)
Ho (0.500, 0.000, 0.249)
Ho (0.500, 0.000, 0.751)
Ho (0.000, 0.500, 0.249)
Ho (0.000, 0.500, 0.751)
Th (0.000, 0.000, 0.500)
Mg (0.000, 0.000, 0.000)

Properties
space group	P4/mmm (123)
calculated formation energy	3.7	kJ per mole of atoms



Entry 2:
Below is a geometry-optimized Ho2ThMg5 structure, with properties calculated at the PBE level.

abc: 5.275 5.275 8.435
angles: 108.22 108.22 90.00
Fractional positions:
Ho (0.255, 0.255, 0.510)
Ho (0.745, 0.745, 0.490)
Th (0.000, 0.000, 0.000)
Mg (0.500, 0.500, 0.000)
Mg (0.624, 0.124, 0.248)
Mg (0.124, 0.624, 0.248)
Mg (0.376, 0.876, 0.752)
Mg (0.876, 0.376, 0.752)

Properties
space group	I4/mmm (139)
calculated formation energy	-0.5	kJ per mole of atoms



Entry 3:
Below is a geometry-optimized Ho2ThMg structure, with properties calculated at the PBE level.

abc: 4.951 4.892 4.892
angles: 90.00 90.00 90.00
Fractional positions:
Mg (0.500, 0.000, 0.000)
Ho (0.000, 0.000, 0.500)
Ho (0.000, 0.500, 0.000)
Th (0.500, 0.500, 0.500)

Properties
space group	P4/mmm (123)
energy above the lowest structure with this stoichiometry	102	meV/atom
calculated formation energy	5.9	kJ per mole of atoms



Entry 4:
Below is a geometry-optimized Ho2ThMg structure, with properties calculated at the PBE level.

abc: 3.485 3.485 12.242
angles: 81.82 81.82 60.00
Fractional positions:
Mg (0.000, 0.000, 0.000)
Ho (0.090, 0.090, 0.730)
Ho (0.910, 0.910, 0.270)
Th (0.500, 0.500, 0.500)

Properties
space group	R-3m (166)
energy above the lowest structure with this stoichiometry	237	meV/atom
calculated formation energy	18.9	kJ per mole of atoms



Entry 5:
Below is a geometry-optimized Ho12Th3Mg5 structure, with properties calculated at the PBE level.

abc: 16.043 16.043 16.043
angles: 109.47 109.47 109.47
Fractional positions:
Th (0.750, 0.375, 0.125)
Th (0.875, 0.750, 0.125)
Th (0.375, 0.750, 0.625)
Th (0.250, 0.125, 0.375)
Th (0.875, 0.125, 0.250)
Th (0.375, 0.625, 0.250)
Th (0.625, 0.375, 0.750)
Th (0.125, 0.875, 0.750)
Th (0.750, 0.875, 0.625)
Th (0.625, 0.250, 0.375)
Th (0.125, 0.250, 0.875)
Th (0.250, 0.625, 0.875)
Mg (0.125, 0.375, 0.250)
Mg (0.000, 0.500, 0.000)
Mg (0.000, 0.000, 0.000)
Mg (0.375, 0.250, 0.125)
Mg (0.500, 0.000, 0.500)
Mg (0.500, 0.500, 0.000)
Mg (0.125, 0.750, 0.375)
Mg (0.750, 0.125, 0.875)
Mg (0.750, 0.625, 0.375)
Mg (0.375, 0.125, 0.750)
Mg (0.625, 0.875, 0.250)
Mg (0.500, 0.500, 0.500)
Mg (0.500, 0.000, 0.000)
Mg (0.000, 0.000, 0.500)
Mg (0.250, 0.375, 0.625)
Mg (0.250, 0.875, 0.125)
Mg (0.000, 0.500, 0.500)
Mg (0.875, 0.250, 0.625)
Mg (0.625, 0.750, 0.875)
Mg (0.875, 0.625, 0.750)
Ho (0.724, 0.140, 0.066)
Ho (0.341, 0.566, 0.426)
Ho (0.934, 0.360, 0.276)
Ho (0.566, 0.224, 0.140)
Ho (0.585, 0.724, 0.659)
Ho (0.934, 0.574, 0.159)
Ho (0.341, 0.776, 0.415)
Ho (0.074, 0.915, 0.140)
Ho (0.574, 0.934, 0.659)
Ho (0.724, 0.585, 0.159)
Ho (0.776, 0.434, 0.360)
Ho (0.841, 0.926, 0.066)
Ho (0.140, 0.724, 0.566)
Ho (0.360, 0.426, 0.085)
Ho (0.085, 0.926, 0.360)
Ho (0.415, 0.140, 0.574)
Ho (0.085, 0.159, 0.224)
Ho (0.434, 0.659, 0.074)
Ho (0.841, 0.915, 0.276)
Ho (0.140, 0.415, 0.074)
Ho (0.360, 0.934, 0.776)
Ho (0.574, 0.640, 0.415)
Ho (0.926, 0.841, 0.566)
Ho (0.776, 0.341, 0.915)
Ho (0.426, 0.360, 0.585)
Ho (0.074, 0.159, 0.434)
Ho (0.224, 0.659, 0.085)
Ho (0.159, 0.085, 0.724)
Ho (0.640, 0.066, 0.224)
Ho (0.860, 0.585, 0.926)
Ho (0.566, 0.341, 0.926)
Ho (0.585, 0.860, 0.426)
Ho (0.915, 0.841, 0.776)
Ho (0.915, 0.074, 0.640)
Ho (0.860, 0.276, 0.434)
Ho (0.159, 0.074, 0.934)
Ho (0.640, 0.574, 0.915)
Ho (0.426, 0.066, 0.341)
Ho (0.276, 0.415, 0.841)
Ho (0.224, 0.566, 0.640)
Ho (0.926, 0.085, 0.860)
Ho (0.659, 0.224, 0.585)
Ho (0.434, 0.776, 0.860)
Ho (0.066, 0.426, 0.841)
Ho (0.415, 0.276, 0.341)
Ho (0.066, 0.640, 0.724)
Ho (0.659, 0.434, 0.574)
Ho (0.276, 0.860, 0.934)

Properties
space group	Ia-3d (230)
calculated formation energy	78.5	kJ per mole of atoms



Entry 6:
Below is a geometry-optimized Ho2ThMg structure, with properties calculated at the PBE level.

abc: 3.574 3.574 9.194
angles: 90.00 90.00 90.00
Fractional positions:
Mg (0.500, 0.500, 0.000)
Ho (0.000, 0.000, 0.760)
Ho (0.000, 0.000, 0.240)
Th (0.500, 0.500, 0.500)

Properties
space group	P4/mmm (123)
energy above the lowest structure with this stoichiometry	0	meV/atom
calculated formation energy	-4.0	kJ per mole of atoms